[1]
The following is a PBE calculation of an optimized crystal structure of NiAgOs2, from Alexandria.

Cell lengths 5.2401, 5.2401, 5.2401 Å; angles 149.03, 128.08, 61.69 degrees
Positions (direct):
1 Ag 0.4897 0.4897 0.0000
2 Ni 0.2415 0.7415 0.5000
3 Os 0.0044 0.0044 0.0000
4 Os 0.7644 0.2644 0.5000

Summary:
As for the formation energy: 0.659 eV per atom.

***

[2]
The following is a PBE calculation of an optimized crystal structure of SnOsF2, from Alexandria.

Cell lengths 4.4139, 4.4139, 4.4139 Å; angles 60.00, 60.00, 60.00 degrees
Positions (direct):
1 Os 0.5000 0.5000 0.5000
2 Sn 0.0000 0.0000 0.0000
3 F 0.2500 0.2500 0.2500
4 F 0.7500 0.7500 0.7500

Summary:
As for the uncorrected formation energy: 0.0321 eV per atom.

***

[3]
The following is a PBE calculation of an optimized crystal structure of NaTmGe, from Alexandria.

Cell lengths 3.3344, 8.1070, 6.6237 Å; angles 78.15, 90.00, 101.87 degrees
Positions (direct):
1 Ge 0.0029 0.0059 0.7990
2 Ge 0.9971 0.9941 0.2010
3 Na 0.3791 0.7583 0.5576
4 Na 0.6209 0.2417 0.4424
5 Tm 0.1625 0.3251 0.9349
6 Tm 0.8375 0.6749 0.0651

Summary:
As for the formation energy: 0.057 eV per atom.

***

[4]
The following is a PBE calculation of an optimized crystal structure of ReNi2Pt4, from Alexandria.

Cell lengths 2.7402, 2.7402, 16.1443 Å; angles 85.13, 85.13, 60.00 degrees
Positions (direct):
1 Re 0.0000 0.0000 0.0000
2 Ni 0.2356 0.2356 0.2933
3 Ni 0.7644 0.7644 0.7067
4 Pt 0.7130 0.7130 0.8609
5 Pt 0.2870 0.2870 0.1391
6 Pt 0.1412 0.1412 0.5765
7 Pt 0.8588 0.8588 0.4235

Summary:
As for the formation energy: 0.095 eV per atom.

***

[5]
The following is a PBE calculation of an optimized crystal structure of Mg2NbAu2, from Alexandria.

Cell lengths 7.7590, 7.7590, 3.0737 Å; angles 90.00, 90.00, 90.00 degrees
Positions (direct):
1 Nb 0.0000 0.0000 0.0000
2 Nb 0.5000 0.5000 0.0000
3 Au 0.3608 0.8608 0.0000
4 Au 0.8608 0.6392 0.0000
5 Au 0.6392 0.1392 0.0000
6 Au 0.1392 0.3608 0.0000
7 Mg 0.1599 0.6599 0.5000
8 Mg 0.6599 0.8401 0.5000
9 Mg 0.8401 0.3401 0.5000
10 Mg 0.3401 0.1599 0.5000

Summary:
As for the formation energy: -0.159 eV per atom.

***

[6]
The following is a PBE calculation of an optimized crystal structure of KHo4ErSe8, from Alexandria.

Cell lengths 8.5496, 8.5496, 8.5356 Å; angles 59.95, 59.95, 60.00 degrees
Positions (direct):
1 K 0.3755 0.3755 0.8734
2 Ho 0.6249 0.6249 0.1253
3 Ho 0.0050 0.4851 0.5049
4 Ho 0.4851 0.0050 0.5049
5 Ho 0.0050 0.0050 0.5049
6 Er 0.0048 0.0048 0.9855
7 Se 0.2338 0.7967 0.7357
8 Se 0.7967 0.2338 0.7357
9 Se 0.2338 0.2338 0.7357
10 Se 0.2347 0.2347 0.2959
11 Se 0.7580 0.2270 0.2569
12 Se 0.2270 0.7580 0.2569
13 Se 0.7580 0.7580 0.2569
14 Se 0.7576 0.7576 0.7273

Summary:
As for the uncorrected formation energy: -1.7406 eV per atom.

***

[7]
The following is a PBE calculation of an optimized crystal structure of NaNiAs2, from Alexandria.

Cell lengths 4.5440, 4.5440, 4.5440 Å; angles 60.00, 60.00, 60.00 degrees
Positions (direct):
1 Ni 0.5000 0.5000 0.5000
2 As 0.2500 0.2500 0.2500
3 As 0.7500 0.7500 0.7500
4 Na 0.0000 0.0000 0.0000

Summary:
As for the formation energy: 0.054 eV per atom.

***

[8]
The following is a PBE calculation of an optimized crystal structure of AcBiAuO4, from Alexandria.

Cell lengths 6.2669, 6.2669, 7.6612 Å; angles 90.00, 90.00, 116.33 degrees
Positions (direct):
1 Ac 0.5000 0.5000 0.5000
2 Ac 0.5000 0.5000 0.0000
3 Bi 0.8568 0.1432 0.2500
4 Bi 0.1432 0.8568 0.7500
5 Au 0.2230 0.7770 0.2500
6 Au 0.7770 0.2230 0.7500
7 O 0.2651 0.2370 0.7500
8 O 0.7630 0.7349 0.7500
9 O 0.7402 0.2598 0.0114
10 O 0.7402 0.2598 0.4886
11 O 0.2598 0.7402 0.9886
12 O 0.2598 0.7402 0.5114
13 O 0.7349 0.7630 0.2500
14 O 0.2370 0.2651 0.2500

Summary:
As for the uncorrected formation energy: -1.4842 eV per atom.

***

[9]
The following is a PBE calculation of an optimized crystal structure of SrMgP2O7, from Alexandria.

Cell lengths 8.3889, 5.3693, 13.9420 Å; angles 68.08, 90.00, 90.00 degrees
Positions (direct):
1 Sr 0.1642 0.5089 0.7783
2 Sr 0.6642 0.4911 0.7217
3 Sr 0.8358 0.4911 0.2217
4 Sr 0.3358 0.5089 0.2783
5 Mg 0.3496 0.2149 0.6071
6 Mg 0.1504 0.2149 0.1071
7 Mg 0.6504 0.7851 0.3929
8 Mg 0.8496 0.7851 0.8929
9 P 0.9655 0.0764 0.6696
10 P 0.2016 0.8322 0.9791
11 P 0.5345 0.0764 0.1696
12 P 0.0345 0.9236 0.3304
13 P 0.7984 0.1678 0.0209
14 P 0.2984 0.8322 0.4791
15 P 0.7016 0.1678 0.5209
16 P 0.4655 0.9236 0.8304
17 O 0.0957 0.7693 0.9006
18 O 0.5957 0.2307 0.5994
19 O 0.9043 0.2307 0.0994
20 O 0.4043 0.7693 0.4006
21 O 0.1704 0.1156 0.9773
22 O 0.6704 0.8844 0.5227
23 O 0.8296 0.8844 0.0227
24 O 0.3296 0.1156 0.4773
25 O 0.1953 0.6058 0.0860
26 O 0.6953 0.3942 0.4140
27 O 0.8047 0.3942 0.9140
28 O 0.3047 0.6058 0.5860
29 O 0.3845 0.1892 0.7625
30 O 0.8845 0.8108 0.7375
31 O 0.6155 0.8108 0.2375
32 O 0.1155 0.1892 0.2625
33 O 0.1141 0.8232 0.4439
34 O 0.6141 0.1768 0.0561
35 O 0.8859 0.1768 0.5561
36 O 0.3859 0.8232 0.9439
37 O 0.8595 0.9753 0.3452
38 O 0.3595 0.0247 0.1548
39 O 0.1405 0.0247 0.6548
40 O 0.6405 0.9753 0.8452
41 O 0.0616 0.7067 0.2857
42 O 0.5616 0.2933 0.2143
43 O 0.9384 0.2933 0.7143
44 O 0.4384 0.7067 0.7857

Summary:
As for the uncorrected formation energy: -2.6776 eV per atom.

***

[10]
The following is a PBE calculation of an optimized crystal structure of UTl6, from Alexandria.

Cell lengths 7.2213, 7.2213, 7.2213 Å; angles 109.47, 109.47, 109.47 degrees
Positions (direct):
1 U 0.0000 0.0000 0.0000
2 Tl 0.2500 0.7500 0.5000
3 Tl 0.5000 0.7500 0.2500
4 Tl 0.2500 0.5000 0.7500
5 Tl 0.7500 0.2500 0.5000
6 Tl 0.5000 0.2500 0.7500
7 Tl 0.7500 0.5000 0.2500

Summary:
As for the formation energy: 0.864 eV per atom.

***

[11]
The following is a PBE calculation of an optimized crystal structure of Cd3HgSe, from Alexandria.

Cell lengths 5.3866, 5.3866, 5.3866 Å; angles 90.00, 90.00, 90.00 degrees
Positions (direct):
1 Hg 0.0000 0.0000 0.0000
2 Se 0.5000 0.5000 0.5000
3 Cd 0.0000 0.5000 0.0000
4 Cd 0.0000 0.0000 0.5000
5 Cd 0.5000 0.0000 0.0000

Summary:
As for the uncorrected formation energy: 0.3207 eV per atom.

***

[12]
The following is a PBE calculation of an optimized crystal structure of InAg2Os, from Alexandria.

Cell lengths 9.9335, 9.9335, 9.9335 Å; angles 16.77, 16.77, 16.77 degrees
Positions (direct):
1 Os 0.7500 0.7500 0.7500
2 Ag 0.0039 0.0039 0.0039
3 Ag 0.4961 0.4961 0.4961
4 In 0.2500 0.2500 0.2500

Summary:
As for the formation energy: 0.554 eV per atom.

***

[13]
The following is a PBE calculation of an optimized crystal structure of NbTlSe2, from Alexandria.

Cell lengths 3.5768, 6.3504, 9.5323 Å; angles 110.18, 79.18, 90.00 degrees
Positions (direct):
1 Nb 0.1358 0.1716 0.8274
2 Nb 0.6408 0.5567 0.8178
3 Tl 0.9126 0.2622 0.2736
4 Tl 0.3521 0.8352 0.3939
5 Se 0.2438 0.3486 0.6118
6 Se 0.0613 0.8636 0.9763
7 Se 0.7167 0.8612 0.6659
8 Se 0.5332 0.3872 0.0327

Summary:
As for the uncorrected formation energy: -0.6679 eV per atom.

***

[14]
The following is a PBE calculation of an optimized crystal structure of LiYGe2Se, from Alexandria.

Cell lengths 5.5311, 5.4032, 5.5311 Å; angles 90.00, 90.00, 90.00 degrees
Positions (direct):
1 Y 0.0000 0.0000 0.0000
2 Ge 0.0000 0.0000 0.5000
3 Ge 0.5000 0.0000 0.0000
4 Se 0.0000 0.5000 0.0000
5 Li 0.5000 0.5000 0.5000

Summary:
As for the uncorrected formation energy: 0.1209 eV per atom.

***

[15]
The following is a PBE calculation of an optimized crystal structure of KCo2Hg, from Alexandria.

Cell lengths 4.5707, 4.5707, 6.4275 Å; angles 70.94, 70.94, 55.25 degrees
Positions (direct):
1 Co 0.0608 0.0608 0.7747
2 Co 0.4392 0.4392 0.7253
3 Hg 0.7500 0.7500 0.7500
4 K 0.2500 0.2500 0.2500

Summary:
As for the formation energy: 0.493 eV per atom.

***

[16]
The following is a PBE calculation of an optimized crystal structure of BaSmTlAg, from Alexandria.

Cell lengths 5.6487, 5.6487, 5.6487 Å; angles 60.00, 60.00, 60.00 degrees
Positions (direct):
1 Ag 0.2500 0.2500 0.2500
2 Tl 0.7500 0.7500 0.7500
3 Ba 0.0000 0.0000 0.0000
4 Sm 0.5000 0.5000 0.5000

Summary:
As for the formation energy: -0.204 eV per atom.

***

[17]
The following is a PBE calculation of an optimized crystal structure of Sc6Fe2Au, from Alexandria.

Cell lengths 7.7089, 7.7089, 7.7089 Å; angles 106.42, 111.35, 110.69 degrees
Positions (direct):
1 Sc 0.5262 0.7157 0.8105
2 Sc 0.4738 0.2843 0.1895
3 Sc 0.0948 0.2843 0.8105
4 Sc 0.9052 0.7157 0.1895
5 Sc 0.7906 0.7670 0.5576
6 Sc 0.2094 0.2330 0.4424
7 Sc 0.2094 0.7670 0.9764
8 Sc 0.7906 0.2330 0.0236
9 Sc 0.7060 0.3906 0.6846
10 Sc 0.2940 0.6094 0.3154
11 Sc 0.2940 0.9786 0.6846
12 Sc 0.7060 0.0214 0.3154
13 Fe 0.5000 0.3852 0.8852
14 Fe 0.5000 0.6148 0.1148
15 Fe 0.6250 0.0000 0.6250
16 Fe 0.3750 0.0000 0.3750
17 Au 0.0000 0.5000 0.5000
18 Au 0.0000 0.0000 0.0000

Summary:
As for the formation energy: -0.293 eV per atom.

***

[18]
The following is a PBE calculation of an optimized crystal structure of Hf6Ga3B, from Alexandria.

Cell lengths 5.5947, 7.3805, 9.2600 Å; angles 90.00, 88.79, 90.00 degrees
Positions (direct):
1 Hf 0.6438 0.1577 0.9467
2 Hf 0.6093 0.1991 0.5564
3 Hf 0.6480 0.4548 0.2671
4 Hf 0.3520 0.5452 0.7329
5 Hf 0.3907 0.8009 0.4436
6 Hf 0.3562 0.8423 0.0533
7 Hf 0.1438 0.3423 0.4467
8 Hf 0.1093 0.3009 0.0564
9 Hf 0.1480 0.0452 0.7671
10 Hf 0.8520 0.9548 0.2329
11 Hf 0.8907 0.6991 0.9436
12 Hf 0.8562 0.6577 0.5533
13 Ga 0.6058 0.8867 0.7406
14 Ga 0.5000 0.5000 0.0000
15 Ga 0.3942 0.1133 0.2594
16 Ga 0.1058 0.6133 0.2406
17 Ga 0.0000 0.0000 0.5000
18 Ga 0.8942 0.3867 0.7594
19 B 0.5000 0.5000 0.5000
20 B 0.0000 0.0000 0.0000

Summary:
As for the formation energy: -0.357 eV per atom.

***

[19]
The following is a PBE calculation of an optimized crystal structure of CdInHg2, from Alexandria.

Cell lengths 3.7400, 5.4010, 5.1141 Å; angles 90.00, 90.00, 90.00 degrees
Positions (direct):
1 Cd 0.0000 0.5000 0.5000
2 Hg 0.0000 0.0000 0.0000
3 Hg 0.5000 0.5000 0.0000
4 In 0.5000 0.0000 0.5000

Summary:
As for the formation energy: 0.023 eV per atom.

***

[20]
The following is a PBE calculation of an optimized crystal structure of SrAlSiPt, from Alexandria.

Cell lengths 4.4517, 4.4210, 5.6388 Å; angles 113.08, 113.25, 90.00 degrees
Positions (direct):
1 Sr 0.9612 0.9612 0.9224
2 Al 0.5931 0.5931 0.1862
3 Si 0.2277 0.7277 0.4554
4 Pt 0.3333 0.3333 0.6666

Summary:
As for the uncorrected formation energy: -0.5605 eV per atom.

***

[21]
The following is a PBE calculation of an optimized crystal structure of Nb2CrTePb, from Alexandria.

Cell lengths 5.0572, 5.7636, 5.0572 Å; angles 90.00, 90.00, 90.00 degrees
Positions (direct):
1 Pb 0.0000 0.5000 0.0000
2 Cr 0.5000 0.5000 0.5000
3 Nb 0.0000 0.0000 0.5000
4 Nb 0.5000 0.0000 0.0000
5 Te 0.0000 0.0000 0.0000

Summary:
As for the uncorrected formation energy: 2.0346 eV per atom.

***

[22]
The following is a PBE calculation of an optimized crystal structure of PuMnS3, from Alexandria.

Cell lengths 6.5905, 6.5898, 6.9175 Å; angles 61.55, 61.54, 59.99 degrees
Positions (direct):
1 Pu 0.3511 0.3510 0.9469
2 Pu 0.6489 0.6490 0.0531
3 Mn 0.8439 0.8439 0.4684
4 Mn 0.1561 0.1561 0.5316
5 S 0.7796 0.4370 0.7372
6 S 0.0461 0.7796 0.7373
7 S 0.4370 0.0461 0.7372
8 S 0.2204 0.5630 0.2628
9 S 0.9539 0.2204 0.2627
10 S 0.5630 0.9539 0.2628

Summary:
As for the uncorrected formation energy: -1.0690 eV per atom.

***

[23]
The following is a PBE calculation of an optimized crystal structure of Dy8As3CSe4, from Alexandria.

Cell lengths 8.0681, 8.1310, 8.0679 Å; angles 119.75, 120.00, 90.00 degrees
Positions (direct):
1 Dy 0.2276 0.7216 0.9940
2 Dy 0.2278 0.7218 0.4557
3 Dy 0.2537 0.2610 0.5073
4 Dy 0.7663 0.7216 0.9940
5 Dy 0.2337 0.2784 0.0060
6 Dy 0.7463 0.7390 0.4927
7 Dy 0.7722 0.2782 0.5443
8 Dy 0.7724 0.2784 0.0060
9 As 0.5000 0.5000 0.0000
10 As 0.5000 0.5000 0.5000
11 As 0.0000 0.5000 0.5000
12 C 0.0000 0.5000 0.0000
13 Se 0.5000 0.0000 0.0000
14 Se 0.5000 0.0000 0.5000
15 Se 0.0000 0.0000 0.0000
16 Se 0.0000 0.0000 0.5000

Summary:
As for the uncorrected formation energy: -1.5580 eV per atom.